No. 1
First-principles (PBE-GGA) data for an optimized crystal structure of LiDyS2, as listed in the Alexandria database.

It has space group I4_1/amd (No. 141, origin choice 2), with a = 5.438 Å, b = 5.438 Å, c = 11.194 Å, α = 90.00°, β = 90.00° and γ = 90.00°. The asymmetric unit holds Li at (0.000, 0.250, 0.375), Dy at (0.000, 0.250, 0.875) and S at (0.000, 0.250, 0.119).

Its total energy is -5.54 eV per atom. The total magnetization is 0.000 μB/atom. The value obtained for the density of states at the Fermi level is 0.0000 states/eV/atom. Its formation energy without anion corrections is -1844 meV/atom. Its density is 4.69 g cm⁻³.



No. 2
First-principles (PBE-GGA) data for an optimized crystal structure of LiDyS, as listed in the Alexandria database.

It has space group R-3m (No. 166, hexagonal axes), with a = 4.6288 Å, b = 4.6288 Å, c = 22.7250 Å, α = 90.00°, β = 90.00° and γ = 120.00°. The asymmetric unit holds Li at (0.0000, 0.0000, 0.1776), Dy at (0.0000, 0.0000, 0.4058) and S at (0.0000, 0.0000, 0.2830).

Its total energy is -4.63 eV per atom. The total magnetization is 0.000 μB/atom. The value obtained for the density of states at the Fermi level is 0.4998 states/eV/atom. Its formation energy without anion corrections is -1078 meV/atom. Its density is 4.76 g cm⁻³.



No. 3
First-principles (PBE-GGA) data for an optimized crystal structure of Li5DyS4, as listed in the Alexandria database.

It has space group Immm (No. 71), with a = 3.909 Å, b = 7.091 Å, c = 13.470 Å, α = 90.00°, β = 90.00° and γ = 90.00°. The asymmetric unit holds Li at (0.000, 0.000, 0.000), Li at (0.000, 0.212, 0.322), Dy at (0.000, 0.500, 0.000), S at (0.000, 0.265, 0.500) and S at (0.000, 0.500, 0.209).

Its total energy is -4.57 eV per atom. The total magnetization is 0.000 μB/atom. The value obtained for the density of states at the Fermi level is 0.0000 states/eV/atom. Its formation energy without anion corrections is -1506 meV/atom. Its density is 2.90 g cm⁻³.



No. 4
First-principles (PBE-GGA) data for an optimized crystal structure of LiDy2S3, as listed in the Alexandria database.

It has space group Immm (No. 71), with a = 3.864 Å, b = 5.485 Å, c = 11.615 Å, α = 90.00°, β = 90.00° and γ = 90.00°. The asymmetric unit holds Li at (0.000, 0.000, 0.000), Dy at (0.000, 0.000, 0.335), S at (0.000, 0.500, 0.000) and S at (0.000, 0.500, 0.337).

Its total energy is -5.83 eV per atom. The total magnetization is 0.000 μB/atom. The value obtained for the density of states at the Fermi level is 0.2538 states/eV/atom. Its formation energy without anion corrections is -1909 meV/atom. Its density is 5.78 g cm⁻³.



No. 5
First-principles (PBE-GGA) data for an optimized crystal structure of LiDyS2, as listed in the Alexandria database.

It has space group R-3m (No. 166, hexagonal axes), with a = 3.9141 Å, b = 3.9141 Å, c = 18.5215 Å, α = 90.00°, β = 90.00° and γ = 120.00°. The asymmetric unit holds Li at (0.0000, 0.0000, 0.0000), Dy at (0.0000, 0.0000, 0.5000) and S at (0.0000, 0.0000, 0.2501).

Its total energy is -5.54 eV per atom. The total magnetization is 0.000 μB/atom. The value obtained for the density of states at the Fermi level is 0.0000 states/eV/atom. Its formation energy without anion corrections is -1850 meV/atom. Its density is 4.74 g cm⁻³.



No. 6
First-principles (PBE-GGA) data for an optimized crystal structure of LiDy6S5, as listed in the Alexandria database.

It has space group P6_3/mcm (No. 193), with a = 6.6019 Å, b = 6.6019 Å, c = 13.6893 Å, α = 90.00°, β = 90.00° and γ = 120.00°. The asymmetric unit holds Li at (0.0000, 0.0000, 0.2500), Dy at (0.0000, 0.3373, 0.1145), S at (0.0000, 0.3417, 0.7500) and S at (0.3333, 0.6667, 0.0000).

Its total energy is -5.74 eV per atom. The total magnetization is 0.000 μB/atom. The value obtained for the density of states at the Fermi level is 0.5716 states/eV/atom. Its formation energy without anion corrections is -1558 meV/atom. Its density is 7.34 g cm⁻³.



No. 7
First-principles (PBE-GGA) data for an optimized crystal structure of Li3Dy2S4, as listed in the Alexandria database.

It has space group C2/m (No. 12), with a = 6.701 Å, b = 3.869 Å, c = 14.952 Å, α = 90.00°, β = 90.06° and γ = 90.00°. The asymmetric unit holds Li at (0.000, 0.000, 0.000), Li at (0.166, 0.500, 0.614), Dy at (0.167, 0.500, 0.205), S at (0.001, 0.000, 0.317) and S at (0.166, 0.500, 0.898).

Its total energy is -5.12 eV per atom. The total magnetization is 0.057 μB/atom. The value obtained for the density of states at the Fermi level is 0.3119 states/eV/atom. Its formation energy without anion corrections is -1625 meV/atom. Its density is 4.06 g cm⁻³.



No. 8
First-principles (PBE-GGA) data for an optimized crystal structure of Li3Dy5S8, as listed in the Alexandria database.

It has space group R-3m (No. 166, hexagonal axes), with a = 7.7630 Å, b = 7.7630 Å, c = 18.8421 Å, α = 90.00°, β = 90.00° and γ = 120.00°. The asymmetric unit holds Li at (0.0000, 0.5000, 0.0000), Dy at (0.0000, 0.0000, 0.0000), Dy at (0.0000, 0.0000, 0.5000), Dy at (0.0000, 0.5000, 0.5000), S at (0.0000, 0.0000, 0.2505) and S at (0.0034, 0.5017, 0.2517).

Its total energy is -5.76 eV per atom. The total magnetization is 0.000 μB/atom. The value obtained for the density of states at the Fermi level is 0.2363 states/eV/atom. Its formation energy without anion corrections is -1896 meV/atom. Its density is 5.52 g cm⁻³.



No. 9
First-principles (PBE-GGA) data for an optimized crystal structure of LiDyS2, as listed in the Alexandria database.

It has space group R3m (No. 160, hexagonal axes), with a = 3.8859 Å, b = 3.8859 Å, c = 19.7326 Å, α = 90.00°, β = 90.00° and γ = 120.00°. The asymmetric unit holds Li at (0.0000, 0.0000, 0.0000), Dy at (0.0000, 0.0000, 0.8221), S at (0.0000, 0.0000, 0.2329) and S at (0.0000, 0.0000, 0.4074).

Its total energy is -5.48 eV per atom. The total magnetization is 0.000 μB/atom. The value obtained for the density of states at the Fermi level is 0.0000 states/eV/atom. Its formation energy without anion corrections is -1787 meV/atom. Its density is 4.51 g cm⁻³.



No. 10
First-principles (PBE-GGA) data for an optimized crystal structure of LiDy5S6, as listed in the Alexandria database.

It has space group C2/m (No. 12), with a = 6.722 Å, b = 11.641 Å, c = 6.735 Å, α = 90.00°, β = 109.45° and γ = 90.00°. The asymmetric unit holds Li at (0.000, 0.000, 0.000), Dy at (0.000, 0.166, 0.500), Dy at (0.000, 0.335, 0.000), Dy at (0.000, 0.500, 0.500), S at (0.243, 0.000, 0.757) and S at (0.245, 0.163, 0.246).

Its total energy is -6.10 eV per atom. The total magnetization is 0.000 μB/atom. The value obtained for the density of states at the Fermi level is 0.3525 states/eV/atom. Its formation energy without anion corrections is -1964 meV/atom. Its density is 6.76 g cm⁻³.



No. 11
First-principles (PBE-GGA) data for an optimized crystal structure of LiDy4S4, as listed in the Alexandria database.

It has space group C2/m (No. 12), with a = 12.131 Å, b = 5.454 Å, c = 8.569 Å, α = 90.00°, β = 134.93° and γ = 90.00°. The asymmetric unit holds Li at (0.000, 0.000, 0.000), Dy at (0.100, 0.500, 0.801), Dy at (0.200, 0.000, 0.600), S at (0.095, 0.000, 0.803) and S at (0.207, 0.500, 0.613).

Its total energy is -5.77 eV per atom. The total magnetization is 0.000 μB/atom. The value obtained for the density of states at the Fermi level is 0.4135 states/eV/atom. Its formation energy without anion corrections is -1681 meV/atom. Its density is 6.50 g cm⁻³.



No. 12
First-principles (PBE-GGA) data for an optimized crystal structure of LiDy4S5, as listed in the Alexandria database.

It has space group I4 (No. 79), with a = 8.686 Å, b = 8.686 Å, c = 5.479 Å, α = 90.00°, β = 90.00° and γ = 90.00°. The asymmetric unit holds Li at (0.000, 0.000, 0.000), Dy at (0.101, 0.701, 0.501), S at (0.000, 0.000, 0.501) and S at (0.096, 0.707, 0.001).

Its total energy is -6.05 eV per atom. The total magnetization is 0.000 μB/atom. The value obtained for the density of states at the Fermi level is 0.3603 states/eV/atom. Its formation energy without anion corrections is -1954 meV/atom. Its density is 6.57 g cm⁻³.



No. 13
First-principles (PBE-GGA) data for an optimized crystal structure of LiDy6S8, as listed in the Alexandria database.

It has space group Fm-3m (No. 225), with a = 10.978 Å, b = 10.978 Å, c = 10.978 Å, α = 90.00°, β = 90.00° and γ = 90.00°. The asymmetric unit holds Li at (0.000, 0.000, 0.000), Dy at (0.000, 0.250, 0.250), S at (0.000, 0.000, 0.245) and S at (0.250, 0.250, 0.250).

Its total energy is -6.17 eV per atom. The total magnetization is 0.000 μB/atom. The value obtained for the density of states at the Fermi level is 0.2908 states/eV/atom. Its formation energy without anion corrections is -2003 meV/atom. Its density is 6.22 g cm⁻³.



No. 14
First-principles (PBE-GGA) data for an optimized crystal structure of LiDy2S3, as listed in the Alexandria database.

It has space group I4/mmm (No. 139), with a = 3.880 Å, b = 3.880 Å, c = 16.471 Å, α = 90.00°, β = 90.00° and γ = 90.00°. The asymmetric unit holds Li at (0.000, 0.000, 0.000), Dy at (0.000, 0.000, 0.340), S at (0.000, 0.000, 0.167) and S at (0.000, 0.000, 0.500).

Its total energy is -5.80 eV per atom. The total magnetization is 0.000 μB/atom. The value obtained for the density of states at the Fermi level is 0.0631 states/eV/atom. Its formation energy without anion corrections is -1882 meV/atom. Its density is 5.74 g cm⁻³.



No. 15
First-principles (PBE-GGA) data for an optimized crystal structure of LiDyS2, as listed in the Alexandria database.

It has space group P4/mmm (No. 123), with a = 3.916 Å, b = 3.916 Å, c = 5.321 Å, α = 90.00°, β = 90.00° and γ = 90.00°. The asymmetric unit holds Li at (0.000, 0.000, 0.000), Dy at (0.500, 0.500, 0.500), S at (0.000, 0.000, 0.500) and S at (0.500, 0.500, 0.000).

Its total energy is -5.47 eV per atom. The total magnetization is 0.000 μB/atom. The value obtained for the density of states at the Fermi level is 0.0000 states/eV/atom. Its formation energy without anion corrections is -1774 meV/atom. Its density is 4.75 g cm⁻³.



No. 16
First-principles (PBE-GGA) data for an optimized crystal structure of Li4Dy3SbS8, as listed in the Alexandria database.

It has space group R-3m (No. 166, hexagonal axes), with a = 7.8364 Å, b = 7.8364 Å, c = 18.5455 Å, α = 90.00°, β = 90.00° and γ = 120.00°. The asymmetric unit holds Li at (0.0000, 0.0000, 0.0000), Li at (0.0000, 0.5000, 0.0000), Dy at (0.0000, 0.5000, 0.5000), Sb at (0.0000, 0.0000, 0.5000), S at (0.0000, 0.0000, 0.2499) and S at (0.9996, 0.4998, 0.2505).

Its total energy is -5.21 eV per atom. The total magnetization is 0.000 μB/atom. The value obtained for the density of states at the Fermi level is 0.0000 states/eV/atom. Its formation energy without anion corrections is -1550 meV/atom. Its density is 4.51 g cm⁻³.



No. 17
First-principles (PBE-GGA) data for an optimized crystal structure of Li3Dy2ScS6, as listed in the Alexandria database.

It has space group C2/m (No. 12), with a = 6.656 Å, b = 11.539 Å, c = 6.528 Å, α = 90.00°, β = 109.74° and γ = 90.00°. The asymmetric unit holds Li at (0.000, 0.000, 0.000), Li at (0.000, 0.339, 0.000), Dy at (0.000, 0.167, 0.500), Sc at (0.000, 0.500, 0.500), S at (0.240, 0.500, 0.255) and S at (0.242, 0.340, 0.748).

Its total energy is -5.65 eV per atom. The total magnetization is 0.000 μB/atom. The value obtained for the density of states at the Fermi level is 0.0000 states/eV/atom. Its formation energy without anion corrections is -1818 meV/atom. Its density is 4.10 g cm⁻³.



No. 18
First-principles (PBE-GGA) data for an optimized crystal structure of Li3DySc2S6, as listed in the Alexandria database.

It has space group C2/m (No. 12), with a = 6.530 Å, b = 11.314 Å, c = 6.493 Å, α = 90.00°, β = 109.60° and γ = 90.00°. The asymmetric unit holds Li at (0.000, 0.000, 0.000), Li at (0.000, 0.332, 0.000), Dy at (0.000, 0.500, 0.500), Sc at (0.000, 0.167, 0.500), S at (0.235, 0.000, 0.745) and S at (0.246, 0.173, 0.257).

Its total energy is -5.77 eV per atom. The total magnetization is 0.000 μB/atom. The value obtained for the density of states at the Fermi level is 0.0000 states/eV/atom. Its formation energy without anion corrections is -1792 meV/atom. Its density is 3.42 g cm⁻³.



No. 19
First-principles (PBE-GGA) data for an optimized crystal structure of Li4Dy3ScS8, as listed in the Alexandria database.

It has space group R-3m (No. 166, hexagonal axes), with a = 7.7212 Å, b = 7.7212 Å, c = 18.4645 Å, α = 90.00°, β = 90.00° and γ = 120.00°. The asymmetric unit holds Li at (0.0000, 0.0000, 0.0000), Li at (0.0000, 0.5000, 0.0000), Dy at (0.0000, 0.5000, 0.5000), Sc at (0.0000, 0.0000, 0.5000), S at (0.0000, 0.0000, 0.2509) and S at (0.0112, 0.5056, 0.2488).

Its total energy is -5.62 eV per atom. The total magnetization is 0.000 μB/atom. The value obtained for the density of states at the Fermi level is 0.0000 states/eV/atom. Its formation energy without anion corrections is -1823 meV/atom. Its density is 4.27 g cm⁻³.



No. 20
First-principles (PBE-GGA) data for an optimized crystal structure of LiDy2Sc3S6, as listed in the Alexandria database.

It has space group C2/m (No. 12), with a = 6.510 Å, b = 11.292 Å, c = 6.561 Å, α = 90.00°, β = 109.43° and γ = 90.00°. The asymmetric unit holds Li at (0.000, 0.000, 0.000), Dy at (0.000, 0.334, 0.000), Sc at (0.000, 0.165, 0.500), Sc at (0.000, 0.500, 0.500), S at (0.237, 0.000, 0.743) and S at (0.249, 0.162, 0.261).

Its total energy is -6.47 eV per atom. The total magnetization is 0.000 μB/atom. The value obtained for the density of states at the Fermi level is 0.4499 states/eV/atom. Its formation energy without anion corrections is -1896 meV/atom. Its density is 4.81 g cm⁻³.